Material: NiBiSb2I
Method: DFT, PBE
State: optimized geometry

For the total energy, the calculation gives -2.590 eV/atom. As for the calculated density: 5.09 g cm⁻³. As for the distance to the lowest polymorph of the same formula: 985 meV per atom. The value obtained for the formation energy (no corrections) is 1.301 eV per atom. The calculation puts the magnetic moment at 1.88 μB/cell.

a = 5.866 Å, b = 5.866 Å, c = 6.055 Å
α = 90.00°, β = 90.00°, γ = 90.00°
Space group P4/mmm (No. 123)
Unique sites:
Ni (0.000, 0.000, 0.000) x1
Bi (0.500, 0.500, 0.500) x1
Sb (0.000, 0.500, 0.500) x2
I (0.500, 0.500, 0.000) x1